[1]
The following is a DFT calculation (PBE) of SrI2O2 after structural relaxation.

It has space group P2_1/c (No. 14), with a = 4.868 Å, b = 11.565 Å, c = 12.064 Å, α = 90.00°, β = 90.95° and γ = 90.00°. The distinct sites, in fractional coordinates, are Sr at (0.005, 0.157, 0.342), I at (0.007, 0.040, 0.889), I at (0.014, 0.138, 0.632), O at (0.493, 0.694, 0.112) and O at (0.497, 0.632, 0.208).

The electronic total energy is -3.983 eV per atom. The uncorrected formation energy is -5.2 eV per formula unit.

[2]
The following is a DFT calculation (PBE) of Sr2IO4 after structural relaxation.

It has space group I4mm (No. 107), with a = 6.046 Å, b = 6.046 Å, c = 6.848 Å, α = 90.00°, β = 90.00° and γ = 90.00°. The distinct sites, in fractional coordinates, are Sr at (0.000, 0.500, 0.000), I at (0.000, 0.000, 0.266) and O at (0.237, 0.237, 0.229).

The electronic total energy is -5.207 eV per atom. The value obtained for the density of states at the Fermi level is 0.192 states/eV/atom. The uncorrected formation energy is -11.7 eV per formula unit.

[3]
The following is a DFT calculation (PBE) of SrIO4 after structural relaxation.

It has space group C2/c (No. 15), with a = 12.164 Å, b = 5.226 Å, c = 5.872 Å, α = 90.00°, β = 104.81° and γ = 90.00°. The distinct sites, in fractional coordinates, are Sr at (0.000, 0.239, 0.250), I at (0.250, 0.250, 0.000), O at (0.100, 0.385, 0.946) and O at (0.188, 0.023, 0.699).

The electronic total energy is -5.003 eV per atom. The value obtained for the density of states at the Fermi level is 0.251 states/eV/atom. The uncorrected formation energy is -7.0 eV per formula unit.

[4]
The following is a DFT calculation (PBE) of SrI2O2 after structural relaxation.

It has space group P4/mmm (No. 123), with a = 4.515 Å, b = 4.515 Å, c = 6.113 Å, α = 90.00°, β = 90.00° and γ = 90.00°. The distinct sites, in fractional coordinates, are Sr at (0.000, 0.000, 0.000), I at (0.000, 0.500, 0.500), O at (0.500, 0.500, 0.000) and O at (0.500, 0.500, 0.500).

The electronic total energy is -3.236 eV per atom. The value obtained for the density of states at the Fermi level is 0.992 states/eV/atom. The uncorrected formation energy is -1.5 eV per formula unit.